First-principles (PBE-GGA) data for La2FeAs after structural relaxation, as listed in Alexandria.

a b c (Å): 7.0900 7.0900 7.0900
angles (deg): 90.00 90.00 90.00
With the nearest neighbours (Å) after each atom.
Positions (direct):
La1 0.0000 0.0000 0.0000  4 La 3.07, 4 Fe 3.07
La2 0.0000 0.5000 0.5000  4 La 3.07, 4 Fe 3.07
La3 0.2500 0.2500 0.2500  4 As 3.07, 4 La 3.07
La4 0.2500 0.7500 0.7500  4 As 3.07, 4 La 3.07
La5 0.5000 0.0000 0.5000  4 La 3.07, 4 Fe 3.07
La6 0.5000 0.5000 0.0000  4 La 3.07, 4 Fe 3.07
La7 0.7500 0.2500 0.7500  4 As 3.07, 4 La 3.07
La8 0.7500 0.7500 0.2500  4 As 3.07, 4 La 3.07
Fe1 0.2500 0.2500 0.7500  4 As 3.07, 4 La 3.07
Fe2 0.2500 0.7500 0.2500  4 As 3.07, 4 La 3.07
Fe3 0.7500 0.2500 0.2500  4 As 3.07, 4 La 3.07
Fe4 0.7500 0.7500 0.7500  4 La 3.07, 4 As 3.07
As1 0.0000 0.0000 0.5000  4 Fe 3.07, 4 La 3.07
As2 0.0000 0.5000 0.0000  4 Fe 3.07, 4 La 3.07
As3 0.5000 0.0000 0.0000  4 Fe 3.07, 4 La 3.07
As4 0.5000 0.5000 0.5000  4 Fe 3.07, 4 La 3.07

Values from the calculation:
As for the size of the total moment: 0.75 μB per formula unit. Its space group is F-43m (216). Its formation energy from the elements is 1.4 kJ/mol of atoms. The calculated total energy is -5.73 eV per atom. As for the density of states at the Fermi level: 17.078 states/eV per cell.